Entry 1:
Li2MoSe | PBE | relaxed

Cell lengths 3.759, 3.759, 4.113 Å; angles 90.00, 90.00, 90.00 degrees
Fractional positions:
Li  0.000  0.000  0.000
Li  0.500  0.500  0.000
Mo  0.500  0.000  0.500
Se  0.000  0.500  0.500

Summary:
**Space-group type**: P4/mmm (123)
**Raw formation energy**: 1.10 kcal/mol of atoms

---

Entry 2:
La8Y2Tm3 | PBE | relaxed

Cell lengths 6.139, 11.800, 9.029 Å; angles 130.80, 73.07, 90.00 degrees
Fractional positions:
La  0.734  0.414  0.828
La  0.266  0.586  0.172
La  0.115  0.862  0.724
La  0.885  0.138  0.276
La  0.353  0.920  0.318
La  0.353  0.398  0.318
La  0.647  0.602  0.682
La  0.647  0.080  0.682
Y  0.687  0.686  0.372
Y  0.313  0.314  0.628
Tm  0.500  0.000  0.000
Tm  0.000  0.273  0.000
Tm  0.000  0.727  0.000

Summary:
**Energy relative to the lowest polymorph listed for this composition**: 0 meV per atom
**Space-group type**: C2/m (12)
**Calculated formation energy**: 0.143 eV/atom

---

Entry 3:
Dy12Tl5Ga2 | PBE | relaxed

Cell lengths 7.079, 9.333, 9.054 Å; angles 84.96, 90.00, 112.29 degrees
Fractional positions:
Dy  0.967  0.934  0.184
Dy  0.090  0.686  0.935
Dy  0.596  0.686  0.935
Dy  0.101  0.697  0.516
Dy  0.596  0.697  0.516
Dy  0.500  0.000  0.698
Dy  0.500  0.000  0.302
Dy  0.899  0.303  0.484
Dy  0.404  0.303  0.484
Dy  0.910  0.314  0.065
Dy  0.404  0.314  0.065
Dy  0.033  0.066  0.816
Tl  0.224  0.448  0.753
Tl  0.295  0.590  0.242
Tl  0.000  0.000  0.500
Tl  0.705  0.410  0.758
Tl  0.776  0.552  0.247
Ga  0.673  0.000  0.000
Ga  0.327  0.000  0.000

Summary:
**Space-group type**: C2/m (12)
**Calculated formation energy**: -0.200 eV/atom

---

Entry 4:
PmNdTeN | PBE | relaxed

Cell lengths 3.853, 3.874, 7.312 Å; angles 105.36, 105.28, 90.00 degrees
Site moments in Bohr magnetons follow the coordinates.
Fractional positions:
Pm  0.971  0.429  0.942  0.07
Nd  0.671  0.130  0.342  0.06
Te  0.322  0.781  0.645  0.00
N  0.570  0.529  0.141  0.00

Summary:
**Space-group type**: Imm2 (44)
**Raw formation energy**: -30.17 kcal/mol of atoms

---

Entry 5:
Pm9Dy2Th | PBE | relaxed

Cell lengths 5.126, 5.126, 15.386 Å; angles 90.00, 90.00, 90.00 degrees
Fractional positions:
Pm  0.500  0.500  0.000
Pm  0.500  0.500  0.335
Pm  0.500  0.500  0.665
Pm  0.500  0.000  0.165
Pm  0.500  0.000  0.500
Pm  0.500  0.000  0.835
Pm  0.000  0.500  0.165
Pm  0.000  0.500  0.500
Pm  0.000  0.500  0.835
Dy  0.000  0.000  0.334
Dy  0.000  0.000  0.666
Th  0.000  0.000  0.000

Summary:
**Space-group type**: P4/mmm (123)
**Calculated formation energy**: 0.030 eV/atom

---

Entry 6:
Pm2CdGaO6 | PBE | relaxed

Cell lengths 5.256, 5.280, 5.280 Å; angles 90.00, 90.00, 90.00 degrees
Fractional positions:
Pm  0.007  0.500  0.000
Pm  0.007  0.000  0.500
Cd  0.544  0.500  0.500
Ga  0.579  0.000  0.000
O  0.737  0.236  0.236
O  0.737  0.236  0.764
O  0.138  0.500  0.500
O  0.224  0.000  0.000
O  0.737  0.764  0.764
O  0.737  0.764  0.236

Summary:
**Space-group type**: P4mm (99)
**Raw formation energy**: -49.77 kcal/mol of atoms

---

Entry 7:
ZrCuAu | PBE | relaxed

Cell lengths 4.495, 4.495, 4.495 Å; angles 60.00, 60.00, 60.00 degrees
Fractional positions:
Au  0.000  0.000  0.000
Cu  0.500  0.500  0.500
Zr  0.750  0.750  0.750

Summary:
**Energy relative to the lowest polymorph listed for this composition**: 505 meV per atom
**Space-group type**: F-43m (216)
**Calculated formation energy**: 0.140 eV/atom

---

Entry 8:
K2Pa3SbO12 | PBE | relaxed

Cell lengths 7.877, 7.877, 7.877 Å; angles 61.11, 61.11, 61.11 degrees
Site moments in Bohr magnetons follow the coordinates.
Fractional positions:
K  0.606  0.606  0.606  0.00
K  0.394  0.394  0.394  0.00
Pa  0.500  0.000  0.000  0.01
Pa  0.000  0.500  0.000  0.01
Pa  0.000  0.000  0.500  0.01
Sb  0.000  0.000  0.000  -0.01
O  0.322  0.322  0.926  0.04
O  0.941  0.941  0.296  0.07
O  0.296  0.941  0.941  0.07
O  0.926  0.322  0.322  0.04
O  0.941  0.296  0.941  0.07
O  0.322  0.926  0.322  0.04
O  0.678  0.678  0.074  0.04
O  0.059  0.059  0.704  0.07
O  0.704  0.059  0.059  0.07
O  0.074  0.678  0.678  0.04
O  0.059  0.704  0.059  0.07
O  0.678  0.074  0.678  0.04

Summary:
**Space-group type**: R-3m (166)
**Raw formation energy**: -59.75 kcal/mol of atoms

---

Number 1: density 5.39 g cm⁻³, Fermi-level density of states 0.68 states/eV/atom. Number 2: density 6.53 g cm⁻³, Fermi-level density of states 1.62 states/eV/atom. Number 3: density 9.38 g cm⁻³, Fermi-level density of states 1.07 states/eV/atom. Number 4: density 7.07 g cm⁻³, Fermi-level density of states 0.44 states/eV/atom. Number 5: density 7.65 g cm⁻³, Fermi-level density of states 1.60 states/eV/atom. Number 6: density 6.44 g cm⁻³, Fermi-level density of states 0.57 states/eV/atom. Number 7: density 9.09 g cm⁻³, Fermi-level density of states 0.93 states/eV/atom. Number 8: density 5.09 g cm⁻³, Fermi-level density of states 0.88 states/eV/atom.